# 1
BaAlCo2 | PBEsol | relaxed

Lattice parameters (Å, degrees): 3.203 3.203 7.013 90.00 90.00 90.00
Positions (direct):
Ba: 0.000 0.000 0.000
Al: 0.000 0.000 0.500
Co: 0.500 0.500 0.342
Co: 0.500 0.500 0.658

Computed properties:
For the total energy, the calculation gives -5.1409 eV/atom. For the density, the calculation gives 6.51 g/cm3. The energy relative to the elements is 0.288 eV/atom. As for the density of states at the Fermi level: 4.4 states/eV/f.u. As for the crystal system: tetragonal. Its total magnetization is 2.2 μB/f.u.

=====

# 2
BaAlCo2 | PBEsol | relaxed

Lattice parameters (Å, degrees): 4.767 4.767 4.767 60.00 60.00 60.00
Positions (direct):
Ba: 0.000 0.000 0.000
Al: 0.250 0.250 0.250
Co: 0.500 0.500 0.500
Co: 0.750 0.750 0.750

Computed properties:
For the total energy, the calculation gives -4.5158 eV/atom. For the density, the calculation gives 6.12 g/cm3. The energy relative to the elements is 0.913 eV/atom. As for the density of states at the Fermi level: 6.1 states/eV/f.u. As for the crystal system: cubic. Its total magnetization is 3.1 μB/f.u.

=====

Which value of total energy does entry 2 give?
-4.5158 eV/atom